Entry 1:
A relaxed ReHgTe2 crystal, computed with PBE.

```
ReHgTe2
1.0
1.662 -2.698 0.000
1.662 2.698 0.000
0.000 0.000 11.171
Re Hg Te
1 1 2
Direct
0.000 0.000 0.000
0.000 0.000 0.500
0.500 0.500 0.195
0.500 0.500 0.805
```

- Spin magnetization: 0.00 Bohr magnetons per cell
- Formation energy without anion corrections: 0.54 eV/atom
- Space-group type: Cmmm (65)

Entry 2:
A relaxed Zr4Rh3 crystal, computed with PBE.

```
Zr4Rh3
1.0
5.405 0.000 0.000
-2.702 4.681 0.000
0.000 0.000 5.131
Zr Rh
4 3
Direct
0.000 0.000 0.247
0.000 0.000 0.753
0.333 0.667 0.500
0.667 0.333 0.500
0.000 0.500 0.000
0.500 0.000 0.000
0.500 0.500 0.000
```

- Spin magnetization: 0.00 Bohr magnetons per cell
- Electronic total energy: -60.1 eV per cell
- Space-group type: P6/mmm (191)

Entry 3:
A relaxed AlAs2Rh crystal, computed with PBE.

```
AlAs2Rh
1.0
0.000 3.217 3.217
3.217 0.000 3.217
3.217 3.217 0.000
Al As Rh
1 2 1
Direct
0.000 0.000 0.000
0.500 0.500 0.500
0.750 0.750 0.750
0.250 0.250 0.250
```

- Spin magnetization: 0.00 Bohr magnetons per cell
- Electronic total energy: -20.2 eV per cell
- Space-group type: F-43m (216)